# 1
# GGA-PBE B3P2, optimized geometry
# Formation energy ... 0.28 eV/atom
# DOS(E_F) ... 1.57 states/eV/cell
# Energy ... -5.889 eV per atom
data_B3P2
_symmetry_space_group_name_H-M 'P 1'
_symmetry_Int_Tables_number 1
_cell_length_a 4.4400
_cell_length_b 3.1355
_cell_length_c 8.1487
_cell_angle_alpha 90.00
_cell_angle_beta 90.00
_cell_angle_gamma 90.00
loop_
_symmetry_equiv_pos_as_xyz
'x,y,z'
loop_
_atom_site_label
_atom_site_type_symbol
_atom_site_fract_x
_atom_site_fract_y
_atom_site_fract_z
B1 B 0.5000 0.5000 0.3979
B2 B 0.2235 0.5000 0.2272
B3 B 0.7765 0.0000 0.7272
B4 B 0.2235 0.0000 0.7272
B5 B 0.5000 0.0000 0.8979
P1 P 0.0000 0.5000 0.8203
B6 B 0.7765 0.5000 0.2272
P2 P 0.5000 0.5000 0.0417
P3 P 0.5000 0.0000 0.5417
P4 P 0.0000 0.0000 0.3203

---

# 2
# GGA-PBE CaScMo2, optimized geometry
# Formation energy ... 0.51 eV/atom
# DOS(E_F) ... 3.54 states/eV/cell
# Energy ... -6.987 eV per atom
data_CaScMo2
_symmetry_space_group_name_H-M 'P 1'
_symmetry_Int_Tables_number 1
_cell_length_a 2.8540
_cell_length_b 4.7655
_cell_length_c 6.2491
_cell_angle_alpha 90.00
_cell_angle_beta 90.00
_cell_angle_gamma 90.00
loop_
_symmetry_equiv_pos_as_xyz
'x,y,z'
loop_
_atom_site_label
_atom_site_type_symbol
_atom_site_fract_x
_atom_site_fract_y
_atom_site_fract_z
Ca1 Ca 0.5000 0.5000 0.7500
Mo1 Mo 0.0000 0.0000 0.4436
Sc1 Sc 0.5000 0.5000 0.2500
Mo2 Mo 0.0000 0.0000 0.0564

---

# 3
# GGA-PBE Pa2Ga3Pt, optimized geometry
# Formation energy ... -0.60 eV/atom
# DOS(E_F) ... 5.64 states/eV/cell
# Energy ... -6.286 eV per atom
data_Pa2Ga3Pt
_symmetry_space_group_name_H-M 'P 1'
_symmetry_Int_Tables_number 1
_cell_length_a 3.4742
_cell_length_b 4.4897
_cell_length_c 7.7246
_cell_angle_alpha 90.00
_cell_angle_beta 90.00
_cell_angle_gamma 90.00
loop_
_symmetry_equiv_pos_as_xyz
'x,y,z'
loop_
_atom_site_label
_atom_site_type_symbol
_atom_site_fract_x
_atom_site_fract_y
_atom_site_fract_z
Pa1 Pa 0.0000 0.5000 0.0104
Pt1 Pt 0.5000 0.5000 0.3349
Ga1 Ga 0.5000 0.0000 0.1625
Pa2 Pa 0.0000 0.0000 0.4914
Ga2 Ga 0.5000 0.5000 0.6709
Ga3 Ga 0.5000 0.0000 0.8298

---

# 4
# GGA-PBE Be2TlBi, optimized geometry
# Formation energy ... 0.82 eV/atom
# DOS(E_F) ... 2.01 states/eV/cell
# Energy ... -2.606 eV per atom
data_Be2TlBi
_symmetry_space_group_name_H-M 'P 1'
_symmetry_Int_Tables_number 1
_cell_length_a 4.8806
_cell_length_b 4.8806
_cell_length_c 4.8806
_cell_angle_alpha 60.00
_cell_angle_beta 60.00
_cell_angle_gamma 60.00
loop_
_symmetry_equiv_pos_as_xyz
'x,y,z'
loop_
_atom_site_label
_atom_site_type_symbol
_atom_site_fract_x
_atom_site_fract_y
_atom_site_fract_z
Be1 Be 0.2500 0.2500 0.2500
Be2 Be 0.7500 0.7500 0.7500
Bi1 Bi 0.5000 0.5000 0.5000
Tl1 Tl 0.0000 0.0000 0.0000

---

# 5
# GGA-PBE BePdPt2, optimized geometry
# Formation energy ... -0.16 eV/atom
# DOS(E_F) ... 4.06 states/eV/cell
# Energy ... -5.409 eV per atom
data_BePdPt2
_symmetry_space_group_name_H-M 'P 1'
_symmetry_Int_Tables_number 1
_cell_length_a 4.1109
_cell_length_b 4.1109
_cell_length_c 4.6206
_cell_angle_alpha 63.59
_cell_angle_beta 63.59
_cell_angle_gamma 60.00
loop_
_symmetry_equiv_pos_as_xyz
'x,y,z'
loop_
_atom_site_label
_atom_site_type_symbol
_atom_site_fract_x
_atom_site_fract_y
_atom_site_fract_z
Be1 Be 0.5000 0.5000 0.5000
Pd1 Pd 0.0000 0.0000 0.0000
Pt1 Pt 0.2278 0.2278 0.3166
Pt2 Pt 0.7722 0.7722 0.6834

---

# 6
# GGA-PBE Rb2As2PdPb, optimized geometry
# Formation energy ... -0.26 eV/atom
# DOS(E_F) ... 6.89 states/eV/cell
# Energy ... -3.620 eV per atom
data_Rb2As2PdPb
_symmetry_space_group_name_H-M 'P 1'
_symmetry_Int_Tables_number 1
_cell_length_a 7.0998
_cell_length_b 7.1826
_cell_length_c 9.0747
_cell_angle_alpha 113.31
_cell_angle_beta 113.03
_cell_angle_gamma 90.00
loop_
_symmetry_equiv_pos_as_xyz
'x,y,z'
loop_
_atom_site_label
_atom_site_type_symbol
_atom_site_fract_x
_atom_site_fract_y
_atom_site_fract_z
As1 As 0.0782 0.7824 0.1565
Pb1 Pb 0.7500 0.0000 0.0000
Rb1 Rb 0.8240 0.5569 0.6480
As2 As 0.9218 0.2176 0.8435
Rb2 Rb 0.3240 0.0911 0.6480
Pd1 Pd 0.2500 0.5000 0.0000
As3 As 0.5782 0.3740 0.1565
As4 As 0.4218 0.6260 0.8435
Rb3 Rb 0.1760 0.4431 0.3520
Rb4 Rb 0.6760 0.9089 0.3520
Pd2 Pd 0.7500 0.5000 0.0000
Pb2 Pb 0.2500 0.0000 0.0000

---

# 7
# GGA-PBE Tb4YAg, optimized geometry
# Formation energy ... 0.04 eV/atom
# DOS(E_F) ... 15.29 states/eV/cell
# Energy ... -4.603 eV per atom
data_Tb4YAg
_symmetry_space_group_name_H-M 'P 1'
_symmetry_Int_Tables_number 1
_cell_length_a 5.4752
_cell_length_b 6.4299
_cell_length_c 10.7033
_cell_angle_alpha 90.00
_cell_angle_beta 104.82
_cell_angle_gamma 90.00
loop_
_symmetry_equiv_pos_as_xyz
'x,y,z'
loop_
_atom_site_label
_atom_site_type_symbol
_atom_site_fract_x
_atom_site_fract_y
_atom_site_fract_z
Tb1 Tb 0.3216 0.0746 0.6431
Tb2 Tb 0.0642 0.7092 0.1284
Tb3 Tb 0.6784 0.5746 0.3569
Ag1 Ag 0.6036 0.9679 0.2073
Tb4 Tb 0.7456 0.0920 0.4912
Tb5 Tb 0.5357 0.3804 0.0715
Tb6 Tb 0.2544 0.5920 0.5088
Tb7 Tb 0.9358 0.2092 0.8716
Ag2 Ag 0.3964 0.4679 0.7927
Y1 Y 0.1345 0.2093 0.2690
Tb8 Tb 0.4643 0.8804 0.9285
Y2 Y 0.8655 0.7093 0.7310

---

# 8
# GGA-PBE NaGaTc2, optimized geometry
# Formation energy ... 0.70 eV/atom
# DOS(E_F) ... 7.39 states/eV/cell
# Energy ... -5.567 eV per atom
data_NaGaTc2
_symmetry_space_group_name_H-M 'P 1'
_symmetry_Int_Tables_number 1
_cell_length_a 3.8374
_cell_length_b 3.8374
_cell_length_c 10.1109
_cell_angle_alpha 79.06
_cell_angle_beta 79.06
_cell_angle_gamma 90.00
loop_
_symmetry_equiv_pos_as_xyz
'x,y,z'
loop_
_atom_site_label
_atom_site_type_symbol
_atom_site_fract_x
_atom_site_fract_y
_atom_site_fract_z
Tc1 Tc 0.3750 0.3101 0.7500
Na1 Na 0.2500 0.7500 0.5000
Tc2 Tc 0.6899 0.1250 0.2500
Tc3 Tc 0.0601 0.6250 0.2500
Ga1 Ga 0.7500 0.2500 0.5000
Tc4 Tc 0.8750 0.9399 0.7500
Na2 Na 0.5000 0.5000 0.0000
Ga2 Ga 0.0000 0.0000 0.0000